Record 1
A plane-wave DFT calculation with PBE was carried out for an optimized crystal structure of HfTa2AlRu.

a = 4.820 Å, b = 4.883 Å, c = 4.820 Å
α = 90.00°, β = 90.00°, γ = 90.00°
Sites, in units of the cell vectors:
1 Ru 0.500 0.500 0.500
2 Hf 0.000 0.000 0.000
3 Al 0.000 0.500 0.000
4 Ta 0.000 0.000 0.500
5 Ta 0.500 0.000 0.000

Properties
As for the calculated total energy: -0.53836 Ry per atom. As for the total magnetization: 0.976 Bohr magnetons per cell. The density of states at the Fermi level is 6.0 states/eV/cell. Its formation energy is 2.011 eV per atom. As for the space group: No. 123.

Record 2
A plane-wave DFT calculation with PBE was carried out for an optimized crystal structure of HfAlTcRu.

a = 3.177 Å, b = 3.177 Å, c = 6.212 Å
α = 90.00°, β = 90.00°, γ = 90.00°
Sites, in units of the cell vectors:
1 Hf 0.500 0.500 0.104
2 Al 0.500 0.500 0.609
3 Tc 0.000 0.000 0.374
4 Ru 0.000 0.000 0.840

Properties
As for the calculated total energy: -0.65111 Ry per atom. As for the total magnetization: 0.000 Bohr magnetons per cell. The density of states at the Fermi level is 4.6 states/eV/cell. Its formation energy is -0.524 eV per atom. As for the space group: No. 99.

Record 3
A plane-wave DFT calculation with PBE was carried out for an optimized crystal structure of HfAlTcRu.

a = 4.451 Å, b = 4.451 Å, c = 4.451 Å
α = 60.00°, β = 60.00°, γ = 60.00°
Sites, in units of the cell vectors:
1 Ru 0.250 0.250 0.250
2 Hf 0.500 0.500 0.500
3 Tc 0.750 0.750 0.750
4 Al 0.000 0.000 0.000

Properties
As for the calculated total energy: -0.65098 Ry per atom. As for the total magnetization: 0.000 Bohr magnetons per cell. The density of states at the Fermi level is 5.3 states/eV/cell. Its formation energy is -0.523 eV per atom. As for the space group: No. 216.

Record 4
A plane-wave DFT calculation with PBE was carried out for an optimized crystal structure of Hf2TiAlRu.

a = 4.986 Å, b = 4.584 Å, c = 4.986 Å
α = 90.00°, β = 90.00°, γ = 90.00°
Sites, in units of the cell vectors:
1 Ru 0.000 0.000 0.000
2 Hf 0.000 0.000 0.500
3 Hf 0.500 0.000 0.000
4 Al 0.500 0.500 0.500
5 Ti 0.000 0.500 0.000

Properties
As for the calculated total energy: -0.57585 Ry per atom. As for the total magnetization: 0.941 Bohr magnetons per cell. The density of states at the Fermi level is 5.4 states/eV/cell. Its formation energy is 0.329 eV per atom. As for the space group: No. 123.

Record 5
A plane-wave DFT calculation with PBE was carried out for an optimized crystal structure of HfAlVRu.

a = 4.476 Å, b = 4.476 Å, c = 4.476 Å
α = 60.00°, β = 60.00°, γ = 60.00°
Sites, in units of the cell vectors:
1 Ru 0.250 0.250 0.250
2 Hf 0.000 0.000 0.000
3 Al 0.500 0.500 0.500
4 V 0.750 0.750 0.750

Properties
As for the calculated total energy: -0.61954 Ry per atom. As for the total magnetization: 2.143 Bohr magnetons per cell. The density of states at the Fermi level is 4.3 states/eV/cell. Its formation energy is -0.407 eV per atom. As for the space group: No. 216.

Record 6
A plane-wave DFT calculation with PBE was carried out for an optimized crystal structure of Hf2Al2S7.

a = 6.268 Å, b = 6.632 Å, c = 6.632 Å
α = 105.73°, β = 97.87°, γ = 97.87°
Sites, in units of the cell vectors:
1 Hf 0.500 0.314 0.686
2 Hf 0.500 0.686 0.314
3 Al 0.895 0.236 0.236
4 Al 0.105 0.764 0.764
5 S 0.291 0.933 0.566
6 S 0.709 0.434 0.067
7 S 0.709 0.067 0.434
8 S 0.291 0.566 0.933
9 S 0.000 0.000 0.000
10 S 0.759 0.580 0.580
11 S 0.241 0.420 0.420

Properties
As for the calculated total energy: -0.46015 Ry per atom. As for the total magnetization: 0.000 Bohr magnetons per cell. The calculation puts the uncorrected formation energy at -1144 meV/atom. As for the space group: No. 12.

Record 7
A plane-wave DFT calculation with PBE was carried out for an optimized crystal structure of HfAl2S6.

a = 6.819 Å, b = 8.148 Å, c = 8.148 Å
α = 92.03°, β = 80.09°, γ = 80.09°
Sites, in units of the cell vectors:
1 Hf 0.250 0.105 0.895
2 Hf 0.750 0.895 0.105
3 Al 0.189 0.591 0.772
4 Al 0.311 0.228 0.409
5 Al 0.811 0.409 0.228
6 Al 0.689 0.772 0.591
7 S 0.427 0.627 0.528
8 S 0.073 0.472 0.373
9 S 0.573 0.373 0.472
10 S 0.927 0.528 0.627
11 S 0.807 0.920 0.392
12 S 0.693 0.608 0.080
13 S 0.193 0.080 0.608
14 S 0.307 0.392 0.920
15 S 0.106 0.826 0.933
16 S 0.394 0.067 0.174
17 S 0.894 0.174 0.067
18 S 0.606 0.933 0.826

Properties
As for the calculated total energy: -0.41465 Ry per atom. As for the total magnetization: 0.000 Bohr magnetons per cell. The calculation puts the uncorrected formation energy at -952 meV/atom. The density of states at the Fermi level is 0.0 states/eV/cell. As for the space group: No. 15.

Record 8
A plane-wave DFT calculation with PBE was carried out for an optimized crystal structure of HfAlS3.

a = 3.575 Å, b = 6.278 Å, c = 10.587 Å
α = 90.00°, β = 99.72°, γ = 90.00°
Sites, in units of the cell vectors:
1 Hf 0.328 0.517 0.655
2 Hf 0.672 0.017 0.345
3 Al 0.875 0.934 0.750
4 Al 0.125 0.434 0.250
5 S 0.880 0.291 0.760
6 S 0.120 0.791 0.240
7 S 0.577 0.279 0.154
8 S 0.423 0.779 0.846
9 S 0.776 0.773 0.551
10 S 0.224 0.273 0.449

Properties
As for the calculated total energy: -0.47275 Ry per atom. As for the total magnetization: 0.000 Bohr magnetons per cell. The calculation puts the uncorrected formation energy at -1216 meV/atom. The value obtained for the energy relative to the lowest polymorph listed for this composition is 0.0 meV/atom. The density of states at the Fermi level is 5.5 states/eV/cell. As for the space group: No. 36.

Record 9
A plane-wave DFT calculation with PBE was carried out for an optimized crystal structure of Hf2AlS.

a = 3.325 Å, b = 3.325 Å, c = 8.079 Å
α = 78.13°, β = 78.13°, γ = 60.00°
Sites, in units of the cell vectors:
1 Hf 0.074 0.074 0.779
2 Hf 0.260 0.260 0.220
3 Al 0.499 0.499 0.502
4 S 0.667 0.667 0.999

Properties
As for the calculated total energy: -0.56604 Ry per atom. As for the total magnetization: 0.000 Bohr magnetons per cell. The calculation puts the uncorrected formation energy at -757 meV/atom. The value obtained for the energy relative to the lowest polymorph listed for this composition is 0.0 meV/atom. The density of states at the Fermi level is 2.6 states/eV/cell. As for the space group: No. 160.

Record 10
A plane-wave DFT calculation with PBE was carried out for an optimized crystal structure of HfAl3S.

a = 5.341 Å, b = 5.341 Å, c = 5.341 Å
α = 90.00°, β = 90.00°, γ = 90.00°
Sites, in units of the cell vectors:
1 S 0.500 0.500 0.500
2 Hf 0.000 0.000 0.000
3 Al 0.000 0.500 0.000
4 Al 0.000 0.000 0.500
5 Al 0.500 0.000 0.000

Properties
As for the calculated total energy: -0.28145 Ry per atom. As for the total magnetization: 1.212 Bohr magnetons per cell. The calculation puts the uncorrected formation energy at 1232 meV/atom. The value obtained for the energy relative to the lowest polymorph listed for this composition is 856.0 meV/atom. The density of states at the Fermi level is 7.0 states/eV/cell. As for the space group: No. 221.

Record 11
A plane-wave DFT calculation with PBE was carried out for an optimized crystal structure of Hf2AlS.

a = 5.430 Å, b = 5.430 Å, c = 7.945 Å
α = 70.02°, β = 70.02°, γ = 90.00°
Sites, in units of the cell vectors:
1 S 0.000 0.000 0.000
2 S 0.750 0.250 0.500
3 Hf 0.674 0.125 0.250
4 Hf 0.076 0.625 0.250
5 Hf 0.375 0.326 0.750
6 Hf 0.875 0.924 0.750
7 Al 0.500 0.500 0.000
8 Al 0.250 0.750 0.500

Properties
As for the calculated total energy: -0.49883 Ry per atom. As for the total magnetization: 0.000 Bohr magnetons per cell. The calculation puts the uncorrected formation energy at 157 meV/atom. The value obtained for the energy relative to the lowest polymorph listed for this composition is 914.4 meV/atom. The density of states at the Fermi level is 6.6 states/eV/cell. As for the space group: No. 122.

Record 12
A plane-wave DFT calculation with PBE was carried out for an optimized crystal structure of Hf2AlS.

a = 4.702 Å, b = 4.702 Å, c = 4.702 Å
α = 60.00°, β = 60.00°, γ = 60.00°
Sites, in units of the cell vectors:
1 S 0.500 0.500 0.500
2 Hf 0.250 0.250 0.250
3 Hf 0.750 0.750 0.750
4 Al 0.000 0.000 0.000

Properties
As for the calculated total energy: -0.52901 Ry per atom. As for the total magnetization: 0.000 Bohr magnetons per cell. The calculation puts the uncorrected formation energy at -253 meV/atom. The value obtained for the energy relative to the lowest polymorph listed for this composition is 503.8 meV/atom. The density of states at the Fermi level is 6.9 states/eV/cell. As for the space group: No. 225.

Record 13
A plane-wave DFT calculation with PBE was carried out for an optimized crystal structure of Hf2AlS.

a = 3.475 Å, b = 3.475 Å, c = 7.581 Å
α = 76.75°, β = 76.75°, γ = 60.00°
Sites, in units of the cell vectors:
1 S 0.000 0.000 0.000
2 Hf 0.266 0.266 0.202
3 Hf 0.734 0.734 0.798
4 Al 0.500 0.500 0.500

Properties
As for the calculated total energy: -0.55842 Ry per atom. As for the total magnetization: 0.000 Bohr magnetons per cell. The calculation puts the uncorrected formation energy at -653 meV/atom. The value obtained for the energy relative to the lowest polymorph listed for this composition is 103.7 meV/atom. The density of states at the Fermi level is 2.4 states/eV/cell. As for the space group: No. 166.